--- one ---
Ga2Ag8Sn: relaxed, PBE-GGA.

Summary:
The value obtained for the density of states at the Fermi level is 5.9 states/eV per cell.

Geometry as CIF:
```
data_Ga2Ag8Sn
_symmetry_space_group_name_H-M 'C 1 2 1'
_symmetry_Int_Tables_number 5
_symmetry_space_group_name_Hall 'C 2y'
_cell_length_a 14.052
_cell_length_b 6.832
_cell_length_c 4.490
_cell_angle_alpha 90.00
_cell_angle_beta 107.72
_cell_angle_gamma 90.00
loop_
_atom_site_label
_atom_site_fract_x
_atom_site_fract_y
_atom_site_fract_z
Ga1 0.154 0.000 0.153
Ag1 0.000 0.250 0.000
Ag2 0.000 0.978 0.500
Ag3 0.141 0.563 0.139
Ag4 0.165 0.262 0.669
Ag5 0.194 0.794 0.692
Sn1 0.000 0.556 0.500
```

***

--- two ---
Ga2Ag8Sn: relaxed, PBE-GGA.

Summary:
The value obtained for the density of states at the Fermi level is 6.0 states/eV per cell.

Geometry as CIF:
```
data_Ga2Ag8Sn
_symmetry_space_group_name_H-M 'C 1 2/m 1'
_symmetry_Int_Tables_number 12
_symmetry_space_group_name_Hall '-C 2y'
_cell_length_a 10.533
_cell_length_b 9.490
_cell_length_c 4.843
_cell_angle_alpha 90.00
_cell_angle_beta 105.27
_cell_angle_gamma 90.00
loop_
_atom_site_label
_atom_site_fract_x
_atom_site_fract_y
_atom_site_fract_z
Ga1 0.167 0.000 0.065
Ag1 0.071 0.500 0.792
Ag2 0.090 0.246 0.285
Ag3 0.222 0.500 0.377
Sn1 0.000 0.000 0.500
```

***

Energetically preferred structure: one | next structure: +0.148 eV/atom

***

--- one ---
Ga2AgSn2: relaxed, PBE-GGA.

Summary:
The value obtained for the density of states at the Fermi level is 4.6 states/eV per cell.

Geometry as CIF:
```
data_Ga2AgSn2
_symmetry_space_group_name_H-M 'P 4/m b m'
_symmetry_Int_Tables_number 127
_symmetry_space_group_name_Hall '-P 4 2ab'
_cell_length_a 7.098
_cell_length_b 7.098
_cell_length_c 4.465
_cell_angle_alpha 90.00
_cell_angle_beta 90.00
_cell_angle_gamma 90.00
loop_
_atom_site_label
_atom_site_fract_x
_atom_site_fract_y
_atom_site_fract_z
Ga1 0.133 0.367 0.000
Ag1 0.000 0.000 0.000
Sn1 0.178 0.678 0.500
```

***

--- two ---
Ga2AgSn2: relaxed, PBE-GGA.

Summary:
The value obtained for the density of states at the Fermi level is 3.8 states/eV per cell.

Geometry as CIF:
```
data_Ga2AgSn2
_symmetry_space_group_name_H-M 'I 4/m m m'
_symmetry_Int_Tables_number 139
_symmetry_space_group_name_Hall '-I 4 2'
_cell_length_a 3.717
_cell_length_b 3.717
_cell_length_c 16.737
_cell_angle_alpha 90.00
_cell_angle_beta 90.00
_cell_angle_gamma 90.00
loop_
_atom_site_label
_atom_site_fract_x
_atom_site_fract_y
_atom_site_fract_z
Ga1 0.000 0.500 0.250
Ag1 0.000 0.000 0.000
Sn1 0.000 0.000 0.400
```

***

Energetically preferred structure: one | next structure: +0.036 eV/atom